## CeDyHo2Se4 (PBE)

Data for crystalline CeDyHo2Se4 at its relaxed geometry.

Calculated values
SG	P2/m, No. 10
volume	24.30	Å³/atom
total DFT energy (no corrections)	-0.219	hartree per atom
formation energy from raw total energies	-1.7580	eV per atom

a = 4.0610 Å, b = 7.1277 Å, c = 7.1034 Å
α = 71.00°, β = 90.00°, γ = 90.00°
Closest atoms and distances in Å follow each position.
Sites, in units of the cell vectors:
Se  0.0000  0.2406  0.2581  3 Ho 2.85-2.89, 1 Dy 2.91, 2 Ce 2.95
Se  0.5000  0.7555  0.2529  3 Ho 2.85-2.89, 2 Dy 2.91, 1 Ce 2.94
Se  0.5000  0.2445  0.7471  3 Ho 2.85-2.89, 2 Dy 2.91, 1 Ce 2.94
Se  0.0000  0.7594  0.7419  3 Ho 2.85-2.89, 1 Dy 2.91, 2 Ce 2.95
Ce  0.5000  0.5000  0.0000  6 Se 2.94-2.95
Ho  0.0000  0.0000  0.0000  6 Se 2.89
Ho  0.5000  0.0000  0.5000  6 Se 2.85
Dy  0.0000  0.5000  0.5000  6 Se 2.91